# 1
Entry from Alexandria: crystalline K3Te12Se5 at its relaxed geometry (GGA-PBE).

a b c (Å): 18.0564 18.0564 18.0564
angles (deg): 90.00 90.00 90.00
Space group Ia-3d (No. 230)
Asymmetric unit:
1 K 0.0000 0.2500 0.1250 [24 per cell]
2 Te 0.0245 0.0590 0.6445 [96 per cell]
3 Se 0.0000 0.0000 0.0000 [16 per cell]
4 Se 0.0000 0.2500 0.3750 [24 per cell]

Computed properties:
Its total moment is 0.00 μB/cell. The calculation puts the formation energy from raw total energies at 33 kJ/mol of formula units. As for the raw total energy: -2.903 eV/atom. The calculation puts the density of states at the Fermi level at 0.364 states/eV/atom.



# 2
Entry from Alexandria: crystalline La4Pr7Mg at its relaxed geometry (GGA-PBE).

a b c (Å): 5.8345 5.8345 14.4121
angles (deg): 90.00 90.00 120.00
Space group P-3m1 (No. 164)
Asymmetric unit:
1 La 0.3333 0.6667 0.1870 [2 per cell]
2 La 0.3333 0.6667 0.4342 [2 per cell]
3 Pr 0.0000 0.0000 0.2290 [2 per cell]
4 Pr 0.0000 0.0000 0.5000 [1 per cell]
5 Pr 0.3333 0.6667 0.6770 [2 per cell]
6 Pr 0.3333 0.6667 0.9266 [2 per cell]
7 Mg 0.0000 0.0000 0.0000 [1 per cell]

Computed properties:
Its total moment is 0.00 μB/cell. As for the raw total energy: -4.494 eV/atom. The relative energy among the computed polymorphs comes out at 0.04 eV per formula unit. The energy of formation from the pure elements comes out at 0.0697 eV per atom. The calculation puts the density of states at the Fermi level at 1.642 states/eV/atom.



# 3
Entry from Alexandria: crystalline La2HoPu3Te6 at its relaxed geometry (GGA-PBE).

a b c (Å): 19.2530 4.0918 12.8387
angles (deg): 90.00 126.45 90.00
Space group C2/m (No. 12)
Asymmetric unit:
1 La 0.2385 0.0000 0.3014 [4 per cell]
2 Ho 0.0000 0.5000 0.5000 [2 per cell]
3 Pu 0.0000 0.0000 0.0000 [2 per cell]
4 Pu 0.0263 0.0000 0.8280 [4 per cell]
5 Te 0.1228 0.0000 0.7085 [4 per cell]
6 Te 0.1381 0.5000 0.0500 [4 per cell]
7 Te 0.1406 0.0000 0.4457 [4 per cell]

Computed properties:
Its total moment is 11.26 μB/cell. The calculation puts the formation energy from raw total energies at -1003 kJ/mol of formula units. As for the raw total energy: -7.223 eV/atom. The calculation puts the density of states at the Fermi level at 2.464 states/eV/atom.



# 4
Entry from Alexandria: crystalline Ni2Pt3 at its relaxed geometry (GGA-PBE).

a b c (Å): 2.7401 2.7401 32.5042
angles (deg): 90.00 90.00 120.00
Space group R-3m (No. 166, hexagonal axes)
Asymmetric unit:
1 Ni 0.0000 0.0000 0.1017 [6 per cell]
2 Pt 0.0000 0.0000 0.2960 [6 per cell]
3 Pt 0.0000 0.0000 0.5000 [3 per cell]

Computed properties:
Its total moment is 7.58 μB/cell. As for the raw total energy: -5.986 eV/atom. The relative energy among the computed polymorphs comes out at 0.07 eV per formula unit. The energy of formation from the pure elements comes out at -0.0492 eV per atom. The calculation puts the density of states at the Fermi level at 1.711 states/eV/atom.



# 5
Entry from Alexandria: crystalline Pm2ZnGa at its relaxed geometry (GGA-PBE).

a b c (Å): 5.1904 5.1904 3.6619
angles (deg): 90.00 90.00 90.00
Space group P4/mmm (No. 123)
Asymmetric unit:
1 Pm 0.0000 0.5000 0.0000 [2 per cell]
2 Zn 0.0000 0.0000 0.5000 [1 per cell]
3 Ga 0.5000 0.5000 0.5000 [1 per cell]

Computed properties:
Its total moment is 0.00 μB/cell. As for the raw total energy: -3.892 eV/atom. The relative energy among the computed polymorphs comes out at 0.04 eV per formula unit. The energy of formation from the pure elements comes out at -0.4419 eV per atom. The calculation puts the density of states at the Fermi level at 1.245 states/eV/atom.



# 6
Entry from Alexandria: crystalline PH5Cl2 at its relaxed geometry (GGA-PBE).

a b c (Å): 9.5287 5.0544 6.8407
angles (deg): 90.00 134.14 90.00
Space group Cm (No. 8)
Asymmetric unit:
1 P 0.0000 0.0000 0.0000 [2 per cell]
2 H 0.0778 0.2406 0.9994 [4 per cell]
3 H 0.1534 0.0000 0.3061 [2 per cell]
4 H 0.3460 0.5000 0.6938 [2 per cell]
5 H 0.3509 0.5000 0.0011 [2 per cell]
6 Cl 0.0062 0.2495 0.4999 [4 per cell]

Computed properties:
Its total moment is 1.63 μB/cell. As for the raw total energy: -3.098 eV/atom. The calculation puts the density of states at the Fermi level at 0.072 states/eV/atom.



# 7
Entry from Alexandria: crystalline HoPaFeRe at its relaxed geometry (GGA-PBE).

a b c (Å): 6.8001 6.8001 6.8001
angles (deg): 90.00 90.00 90.00
Space group F-43m (No. 216)
Asymmetric unit:
1 Ho 0.0000 0.0000 0.0000 [4 per cell]
2 Pa 0.0000 0.0000 0.5000 [4 per cell]
3 Fe 0.2500 0.2500 0.2500 [4 per cell]
4 Re 0.2500 0.2500 0.7500 [4 per cell]

Computed properties:
Its total moment is 5.04 μB/cell. As for the raw total energy: -8.687 eV/atom. The energy of formation from the pure elements comes out at 0.0591 eV per atom. The calculation puts the density of states at the Fermi level at 1.018 states/eV/atom.



# 8
Entry from Alexandria: crystalline Ta2Fe2Ag at its relaxed geometry (GGA-PBE).

a b c (Å): 7.1323 7.1323 2.9580
angles (deg): 90.00 90.00 90.00
Space group P4/mbm (No. 127)
Asymmetric unit:
1 Ta 0.1577 0.3423 0.0000 [4 per cell]
2 Fe 0.1366 0.6366 0.5000 [4 per cell]
3 Ag 0.0000 0.0000 0.5000 [2 per cell]

Computed properties:
Its total moment is 0.00 μB/cell. As for the raw total energy: -8.626 eV/atom. The energy of formation from the pure elements comes out at 0.0705 eV per atom. The calculation puts the density of states at the Fermi level at 0.536 states/eV/atom.



# 9
Entry from Alexandria: crystalline Be2InCl at its relaxed geometry (GGA-PBE).

a b c (Å): 2.9368 4.3485 5.4632
angles (deg): 90.00 90.00 90.00
Space group Pmmm (No. 47)
Asymmetric unit:
1 Be 0.0000 0.0000 0.0000 [1 per cell]
2 Be 0.5000 0.0000 0.5000 [1 per cell]
3 In 0.0000 0.5000 0.5000 [1 per cell]
4 Cl 0.5000 0.5000 0.0000 [1 per cell]

Computed properties:
Its total moment is 0.00 μB/cell. The calculation puts the formation energy from raw total energies at 242 kJ/mol of formula units. As for the raw total energy: -2.381 eV/atom. The relative energy among the computed polymorphs comes out at 1.74 eV per formula unit. The calculation puts the density of states at the Fermi level at 0.491 states/eV/atom.



# 10
Entry from Alexandria: crystalline Ho3Er3Tm at its relaxed geometry (GGA-PBE).

a b c (Å): 6.0890 6.0890 41.8945
angles (deg): 90.00 90.00 120.00
Space group R-3 (No. 148, hexagonal axes)
Asymmetric unit:
1 Ho 0.0002 0.3315 0.1326 [18 per cell]
2 Er 0.0003 0.3343 0.9340 [18 per cell]
3 Tm 0.0000 0.0000 0.3333 [6 per cell]

Computed properties:
Its total moment is 0.00 μB/cell. As for the raw total energy: -4.414 eV/atom. The relative energy among the computed polymorphs comes out at 0.97 eV per formula unit. The energy of formation from the pure elements comes out at 0.1419 eV per atom. The calculation puts the density of states at the Fermi level at 1.342 states/eV/atom.



# 11
Entry from Alexandria: crystalline NaTcH3 at its relaxed geometry (GGA-PBE).

a b c (Å): 3.5870 3.5870 3.5870
angles (deg): 90.00 90.00 90.00
Space group Pm-3m (No. 221)
Asymmetric unit:
1 Na 0.0000 0.0000 0.0000 [1 per cell]
2 Tc 0.5000 0.5000 0.5000 [1 per cell]
3 H 0.0000 0.5000 0.5000 [3 per cell]

Computed properties:
Its total moment is 1.00 μB/cell. As for the raw total energy: -4.241 eV/atom. The relative energy among the computed polymorphs comes out at 0.00 eV per formula unit. The calculation puts the density of states at the Fermi level at 0.496 states/eV/atom.



# 12
Entry from Alexandria: crystalline Bi3PtF at its relaxed geometry (GGA-PBE).

a b c (Å): 4.9615 4.9615 4.9615
angles (deg): 90.00 90.00 90.00
Space group Pm-3m (No. 221)
Asymmetric unit:
1 Bi 0.0000 0.0000 0.5000 [3 per cell]
2 Pt 0.5000 0.5000 0.5000 [1 per cell]
3 F 0.0000 0.0000 0.0000 [1 per cell]

Computed properties:
Its total moment is 0.00 μB/cell. The calculation puts the formation energy from raw total energies at -19 kJ/mol of formula units. As for the raw total energy: -3.949 eV/atom. The relative energy among the computed polymorphs comes out at 0.00 eV per formula unit. The calculation puts the density of states at the Fermi level at 0.431 states/eV/atom.